Record 1
This record from Alexandria via LeMat-Bulk describes a geometry-optimized Sr2CaGaO5 structure. The functional is GGA-PBE.

a b c (Å): 3.439 7.558 10.407
angles (deg): 90.00 90.00 103.15
Fractional coordinates of all 18 atoms:
O1 0.054 0.107 0.036
O2 0.706 0.412 0.852
Ga1 0.506 0.013 0.977
Ca1 0.221 0.443 0.002
Ca2 0.779 0.557 0.502
Sr1 0.882 0.764 0.206
O3 0.381 0.762 0.013
O4 0.294 0.588 0.352
Ga2 0.494 0.987 0.477
Sr2 0.125 0.250 0.287
Sr3 0.118 0.236 0.706
O5 0.946 0.893 0.536
O6 0.619 0.238 0.513
O7 0.709 0.418 0.154
O8 0.291 0.582 0.654
O9 0.505 0.009 0.797
Sr4 0.875 0.750 0.787
O10 0.495 0.991 0.297

Summary:
As for the crystal system: orthorhombic. As for the formation energy without anion corrections: -21.15 eV per formula unit. Its space-group type is No. 36. As for the density: 4.60 Mg/m³.

=====

Record 2
This record from Alexandria via LeMat-Bulk describes a geometry-optimized Sr2CaGaO structure. The functional is GGA-PBE.

a b c (Å): 5.255 5.255 4.671
angles (deg): 90.00 90.00 90.00
Fractional coordinates of all 5 atoms:
Ga1 0.500 0.500 0.500
O1 0.000 0.000 0.000
Ca1 0.000 0.000 0.500
Sr1 0.000 0.500 0.000
Sr2 0.500 0.000 0.000

Summary:
As for the crystal system: tetragonal. As for the formation energy without anion corrections: -6.40 eV per formula unit. Its space-group type is No. 123. As for the density: 3.88 Mg/m³.

=====

Record 3
This record from Alexandria via LeMat-Bulk describes a geometry-optimized SrCa2GaO structure. The functional is GGA-PBE.

a b c (Å): 4.812 4.812 5.193
angles (deg): 90.00 90.00 90.00
Fractional coordinates of all 5 atoms:
Ca1 0.500 0.000 0.000
Sr1 0.000 0.000 0.500
Ca2 0.000 0.500 0.000
O1 0.000 0.000 0.000
Ga1 0.500 0.500 0.500

Summary:
As for the crystal system: tetragonal. As for the formation energy without anion corrections: -6.59 eV per formula unit. Its space-group type is No. 123. As for the density: 3.50 Mg/m³.

=====

Record 4
This record from Alexandria via LeMat-Bulk describes a geometry-optimized CaTaGaO5 structure. The functional is GGA-PBE.

a b c (Å): 5.723 5.723 7.522
angles (deg): 104.55 104.55 106.06
Fractional coordinates of all 16 atoms:
O1 0.356 0.254 0.086
O2 0.644 0.746 0.914
O3 0.102 0.694 0.897
Ca1 0.672 0.328 0.750
O4 0.069 0.931 0.250
O5 0.306 0.898 0.603
Ta1 0.000 0.000 0.000
O6 0.254 0.356 0.586
Ca2 0.328 0.672 0.250
O7 0.694 0.102 0.397
Ga1 0.317 0.683 0.750
O8 0.746 0.644 0.414
O9 0.931 0.069 0.750
Ta2 0.000 0.000 0.500
O10 0.898 0.306 0.103
Ga2 0.683 0.317 0.250

Summary:
As for the crystal system: monoclinic. As for the formation energy without anion corrections: -21.47 eV per formula unit. Its space-group type is No. 15. As for the density: 5.72 Mg/m³.

=====

Record 5
This record from Alexandria via LeMat-Bulk describes a geometry-optimized CaTbGaO4 structure. The functional is GGA-PBE.

a b c (Å): 6.353 6.500 6.500
angles (deg): 61.50 60.74 60.74
Fractional coordinates of all 14 atoms:
O1 0.751 0.738 0.761
O2 0.245 0.256 0.756
O3 0.249 0.262 0.239
Ca1 0.500 0.000 0.500
O4 0.257 0.744 0.244
Ca2 0.000 0.000 0.500
O5 0.755 0.744 0.244
O6 0.751 0.261 0.238
Ga1 0.632 0.618 0.118
Tb1 0.000 0.000 0.000
O7 0.249 0.739 0.762
Ga2 0.368 0.382 0.882
O8 0.743 0.256 0.756
Tb2 0.000 0.500 0.500

Summary:
As for the crystal system: orthorhombic. As for the formation energy without anion corrections: -18.64 eV per formula unit. Its space-group type is No. 74. As for the density: 5.70 Mg/m³.

=====

Record 6
This record from Alexandria via LeMat-Bulk describes a geometry-optimized CaGaTcO6 structure. The functional is GGA-PBE.

a b c (Å): 4.843 4.843 9.362
angles (deg): 90.00 90.00 90.00
Fractional coordinates of all 18 atoms:
O1 0.209 0.791 0.800
O2 0.791 0.209 0.800
O3 0.328 0.328 0.007
O4 0.828 0.172 0.507
O5 0.778 0.222 0.188
Tc1 0.500 0.500 0.171
Ca1 0.500 0.500 0.504
O6 0.722 0.722 0.688
O7 0.172 0.828 0.507
Ca2 0.000 0.000 0.004
Ga1 0.000 0.000 0.335
O8 0.278 0.278 0.688
O9 0.709 0.709 0.300
O10 0.291 0.291 0.300
Ga2 0.500 0.500 0.835
O11 0.222 0.778 0.188
Tc2 0.000 0.000 0.671
O12 0.672 0.672 0.007

Summary:
As for the crystal system: tetragonal. As for the formation energy without anion corrections: -15.49 eV per formula unit. Its space-group type is No. 102. As for the density: 4.60 Mg/m³.

=====

Please write out number 1 again, unchanged.
This record from Alexandria via LeMat-Bulk describes a geometry-optimized Sr2CaGaO5 structure. The functional is GGA-PBE.

a b c (Å): 3.439 7.558 10.407
angles (deg): 90.00 90.00 103.15
Fractional coordinates of all 18 atoms:
O1 0.054 0.107 0.036
O2 0.706 0.412 0.852
Ga1 0.506 0.013 0.977
Ca1 0.221 0.443 0.002
Ca2 0.779 0.557 0.502
Sr1 0.882 0.764 0.206
O3 0.381 0.762 0.013
O4 0.294 0.588 0.352
Ga2 0.494 0.987 0.477
Sr2 0.125 0.250 0.287
Sr3 0.118 0.236 0.706
O5 0.946 0.893 0.536
O6 0.619 0.238 0.513
O7 0.709 0.418 0.154
O8 0.291 0.582 0.654
O9 0.505 0.009 0.797
Sr4 0.875 0.750 0.787
O10 0.495 0.991 0.297

Summary:
As for the crystal system: orthorhombic. As for the formation energy without anion corrections: -21.15 eV per formula unit. Its space-group type is No. 36. As for the density: 4.60 Mg/m³.

=====

Look up the formation energy without anion corrections of the third one. -6.59 eV per formula unit

=====

Copy entry 5 word for word.
This record from Alexandria via LeMat-Bulk describes a geometry-optimized CaTbGaO4 structure. The functional is GGA-PBE.

a b c (Å): 6.353 6.500 6.500
angles (deg): 61.50 60.74 60.74
Fractional coordinates of all 14 atoms:
O1 0.751 0.738 0.761
O2 0.245 0.256 0.756
O3 0.249 0.262 0.239
Ca1 0.500 0.000 0.500
O4 0.257 0.744 0.244
Ca2 0.000 0.000 0.500
O5 0.755 0.744 0.244
O6 0.751 0.261 0.238
Ga1 0.632 0.618 0.118
Tb1 0.000 0.000 0.000
O7 0.249 0.739 0.762
Ga2 0.368 0.382 0.882
O8 0.743 0.256 0.756
Tb2 0.000 0.500 0.500

Summary:
As for the crystal system: orthorhombic. As for the formation energy without anion corrections: -18.64 eV per formula unit. Its space-group type is No. 74. As for the density: 5.70 Mg/m³.

=====

What is the density in the fourth record? 5.72 Mg/m³